# 1
First-principles (PBE) data for crystalline YCrPb2 at its relaxed geometry, as listed in the Alexandria database.

Properties
Formation enthalpy at 0 K, eV per atom: 0.320

abc: 4.7851 4.7851 20.3242
angles: 90.00 90.00 90.00
Closest atoms and distances in Å follow each position.
Space group I-42d (No. 122)
Unique sites:
Y (0.0000, 0.0000, 0.0000) [4 per cell]  4 Pb 3.12, 4 Cr 3.38
Cr (0.0000, 0.0000, 0.5000) [4 per cell]  4 Pb 2.99
Pb (0.2168, 0.2500, 0.6250) [8 per cell]  2 Cr 2.99, 2 Y 3.12, 2 Pb 3.17



# 2
First-principles (PBE) data for crystalline Y4CrPb at its relaxed geometry, as listed in the Alexandria database.

Properties
Formation enthalpy at 0 K, eV per atom: 0.511

abc: 8.9719 8.9719 8.9719
angles: 90.00 90.00 90.00
Closest atoms and distances in Å follow each position.
Space group F-43m (No. 216)
Unique sites:
Y (0.1249, 0.1249, 0.1249) [16 per cell]  6 Y 3.17
Cr (0.2500, 0.2500, 0.7500) [4 per cell]  12 Y 3.72, 4 Pb 3.88
Pb (0.0000, 0.0000, 0.5000) [4 per cell]  12 Y 3.72, 4 Cr 3.88



# 3
First-principles (PBE) data for crystalline YCrPb2 at its relaxed geometry, as listed in the Alexandria database.

Properties
Formation enthalpy at 0 K, eV per atom: 0.024

abc: 4.8017 4.8017 4.4172
angles: 90.00 90.00 90.00
Closest atoms and distances in Å follow each position.
Space group P4/mmm (No. 123)
Unique sites:
Y (0.0000, 0.0000, 0.0000) [1 per cell]  8 Pb 3.26, 4 Cr 3.40
Cr (0.5000, 0.5000, 0.0000) [1 per cell]  8 Pb 3.26, 4 Y 3.40
Pb (0.0000, 0.5000, 0.5000) [2 per cell]  4 Cr 3.26, 4 Y 3.26, 4 Pb 3.40



# 4
First-principles (PBE) data for crystalline ZnCr4Pb at its relaxed geometry, as listed in the Alexandria database.

Properties
Formation enthalpy at 0 K, eV per atom: 0.562

abc: 7.0153 7.0153 7.0153
angles: 90.00 90.00 90.00
Closest atoms and distances in Å follow each position.
Space group F-43m (No. 216)
Unique sites:
Zn (0.0000, 0.0000, 0.0000) [4 per cell]  12 Cr 2.90, 4 Pb 3.04
Cr (0.1282, 0.1282, 0.6282) [16 per cell]  6 Cr 2.42-2.54
Pb (0.2500, 0.2500, 0.2500) [4 per cell]  12 Cr 2.92, 4 Zn 3.04



# 5
First-principles (PBE) data for crystalline ZnCrPb4 at its relaxed geometry, as listed in the Alexandria database.

Properties
Formation enthalpy at 0 K, eV per atom: 0.605

abc: 9.0372 9.0372 9.0372
angles: 90.00 90.00 90.00
Closest atoms and distances in Å follow each position.
Space group F-43m (No. 216)
Unique sites:
Zn (0.0000, 0.0000, 0.0000) [4 per cell]  12 Pb 3.75, 4 Cr 3.91
Cr (0.2500, 0.2500, 0.7500) [4 per cell]  12 Pb 3.75, 4 Zn 3.91
Pb (0.1248, 0.1248, 0.3752) [16 per cell]  6 Pb 3.19-3.20



# 6
First-principles (PBE) data for crystalline Zn2Cr2Pb at its relaxed geometry, as listed in the Alexandria database.

Properties
Formation enthalpy at 0 K, eV per atom: 0.414
Polymorph energy (0 for the lowest one), meV per atom: 0

abc: 7.5334 7.5334 3.1708
angles: 90.00 90.00 90.00
Closest atoms and distances in Å follow each position.
Space group P4/mbm (No. 127)
Unique sites:
Zn (0.1233, 0.3767, 0.0000) [4 per cell]  1 Zn 2.63, 6 Cr 2.72-2.74
Cr (0.1669, 0.6669, 0.5000) [4 per cell]  6 Zn 2.72-2.74
Pb (0.0000, 0.0000, 0.0000) [2 per cell]  4 Zn 2.99, 2 Pb 3.17, 8 Cr 3.22



# 7
First-principles (PBE) data for crystalline Zn2Cr2Pb at its relaxed geometry, as listed in the Alexandria database.

Properties
Formation enthalpy at 0 K, eV per atom: 0.542
Polymorph energy (0 for the lowest one), meV per atom: 128

abc: 3.2304 3.2304 17.3618
angles: 90.00 90.00 90.00
Closest atoms and distances in Å follow each position.
Space group I4/mmm (No. 139)
Unique sites:
Zn (0.0000, 0.0000, 0.1271) [4 per cell]  4 Cr 2.68
Cr (0.0000, 0.5000, 0.2500) [4 per cell]  4 Cr 2.28
Pb (0.0000, 0.0000, 0.5000) [2 per cell]  8 Zn 3.18, 4 Pb 3.23



# 8
First-principles (PBE) data for crystalline ZrCrPb2 at its relaxed geometry, as listed in the Alexandria database.

Properties
Formation enthalpy at 0 K, eV per atom: 0.298
Polymorph energy (0 for the lowest one), meV per atom: 87

abc: 3.3152 4.1597 6.6741
angles: 90.00 90.00 90.00
Closest atoms and distances in Å follow each position.
Space group Pmmm (No. 47)
Unique sites:
Zr (0.0000, 0.0000, 0.0000) [1 per cell]  8 Pb 3.17, 2 Zr 3.32, 2 Cr 3.34
Cr (0.0000, 0.0000, 0.5000) [1 per cell]  8 Pb 3.11, 2 Cr 3.32, 2 Zr 3.34
Pb (0.5000, 0.5000, 0.2572) [2 per cell]  4 Cr 3.11, 4 Zr 3.17, 4 Pb 3.24-3.43